No. 1
The following is a PBE calculation of Pr2Si4PdPt after structural relaxation, from the Open Quantum Materials Database.

a b c (Å): 4.252 8.685 8.685
angles (deg): 28.78 90.00 90.00
Fractional positions:
1 Pr 0.000 0.000 0.000
2 Pr 0.500 0.208 0.208
3 Si 0.000 0.354 0.354
4 Si 0.000 0.640 0.640
5 Si 0.500 0.570 0.570
6 Si 0.500 0.856 0.856
7 Pd 0.500 0.425 0.425
8 Pt 0.000 0.784 0.784

The calculation puts the total magnetic moment at 0.01 μB per cell. As for the total energy: -6.23 eV/atom.

---

No. 2
The following is a PBE calculation of Tb2GdTlCd3In2 after structural relaxation, from the Open Quantum Materials Database.

a b c (Å): 4.657 7.570 7.570
angles (deg): 120.07 90.00 90.00
Fractional positions:
1 Tb 0.000 0.215 0.785
2 Tb 0.000 0.785 0.215
3 Gd 0.000 0.354 0.354
4 Tl 0.000 0.786 0.786
5 Cd 0.500 0.036 0.036
6 Cd 0.500 0.534 0.785
7 Cd 0.500 0.785 0.534
8 In 0.500 0.118 0.452
9 In 0.500 0.452 0.118

The calculation puts the total magnetic moment at 0.00 μB per cell. As for the total energy: -3.10 eV/atom.

---

No. 3
The following is a PBE calculation of SrHoAsO after structural relaxation, from the Open Quantum Materials Database.

a b c (Å): 4.634 7.248 6.455
angles (deg): 90.00 90.00 90.00
Fractional positions:
1 Sr 0.000 0.203 0.000
2 Sr 0.000 0.797 0.500
3 Ho 0.500 0.391 0.606
4 Ho 0.500 0.609 0.106
5 As 0.000 0.223 0.479
6 As 0.000 0.777 0.979
7 O 0.500 0.354 0.938
8 O 0.500 0.646 0.438

The calculation puts the total magnetic moment at 0.00 μB per cell. As for the total energy: -6.05 eV/atom. The polymorph energy (0 for the lowest one) is 0.00 eV/f.u.

---

No. 4
The following is a PBE calculation of ZnFe2B after structural relaxation, from the Open Quantum Materials Database.

a b c (Å): 5.440 5.440 5.440
angles (deg): 90.00 90.00 90.00
Fractional positions:
1 Zn 0.000 0.000 0.000
2 Zn 0.000 0.000 0.500
3 Zn 0.000 0.500 0.000
4 Zn 0.500 0.000 0.000
5 Fe 0.279 0.279 0.279
6 Fe 0.279 0.279 0.721
7 Fe 0.279 0.721 0.279
8 Fe 0.279 0.721 0.721
9 Fe 0.721 0.279 0.279
10 Fe 0.721 0.279 0.721
11 Fe 0.721 0.721 0.279
12 Fe 0.721 0.721 0.721
13 B 0.000 0.500 0.500
14 B 0.500 0.000 0.500
15 B 0.500 0.500 0.000
16 B 0.500 0.500 0.500

The calculation puts the total magnetic moment at 9.98 μB per cell. As for the total energy: -6.06 eV/atom. The polymorph energy (0 for the lowest one) is 0.00 eV/f.u.

---

No. 5
The following is a PBE calculation of LaPrNi2B2N2 after structural relaxation, from the Open Quantum Materials Database.

a b c (Å): 3.693 3.693 7.526
angles (deg): 90.00 90.00 90.00
Fractional positions:
1 La 0.000 0.000 0.000
2 Pr 0.500 0.500 0.348
3 Ni 0.000 0.500 0.673
4 Ni 0.500 0.000 0.673
5 B 0.000 0.000 0.526
6 B 0.500 0.500 0.821
7 N 0.000 0.000 0.333
8 N 0.500 0.500 0.013

The calculation puts the total magnetic moment at 0.00 μB per cell. As for the total energy: -7.30 eV/atom.

---

No. 6
The following is a PBE calculation of DyInGa2 after structural relaxation, from the Open Quantum Materials Database.

a b c (Å): 4.758 6.501 6.501
angles (deg): 58.43 90.00 90.00
Fractional positions:
1 Dy 0.000 0.000 0.000
2 Dy 0.500 0.353 0.353
3 In 0.000 0.505 0.987
4 In 0.000 0.987 0.505
5 Ga 0.000 0.521 0.521
6 Ga 0.500 0.371 0.820
7 Ga 0.500 0.820 0.371
8 Ga 0.500 0.824 0.824

The calculation puts the total magnetic moment at 0.00 μB per cell. As for the total energy: -3.78 eV/atom. The polymorph energy (0 for the lowest one) is 0.00 eV/f.u.

---

No. 7
The following is a PBE calculation of LiGe2IrO6 after structural relaxation, from the Open Quantum Materials Database.

a b c (Å): 6.568 6.568 5.490
angles (deg): 103.40 103.40 83.27
Fractional positions:
1 Li 0.248 0.752 0.750
2 Li 0.752 0.248 0.250
3 Ge 0.105 0.288 0.751
4 Ge 0.288 0.105 0.251
5 Ge 0.712 0.895 0.749
6 Ge 0.895 0.712 0.249
7 Ir 0.409 0.591 0.250
8 Ir 0.591 0.409 0.750
9 O 0.079 0.191 0.017
10 O 0.139 0.609 0.385
11 O 0.191 0.079 0.517
12 O 0.305 0.473 0.863
13 O 0.391 0.861 0.115
14 O 0.473 0.305 0.363
15 O 0.527 0.695 0.637
16 O 0.609 0.139 0.885
17 O 0.695 0.527 0.137
18 O 0.809 0.921 0.483
19 O 0.861 0.391 0.615
20 O 0.921 0.809 0.983

The calculation puts the total magnetic moment at 0.00 μB per cell. As for the total energy: -6.35 eV/atom.

---

No. 8
The following is a PBE calculation of Cu2Ag3 after structural relaxation, from the Open Quantum Materials Database.

a b c (Å): 2.844 3.822 14.298
angles (deg): 90.00 90.00 90.00
Fractional positions:
1 Cu 0.000 0.000 0.094
2 Cu 0.000 0.000 0.906
3 Cu 0.500 0.500 0.184
4 Cu 0.500 0.500 0.816
5 Ag 0.000 0.000 0.278
6 Ag 0.000 0.000 0.500
7 Ag 0.000 0.000 0.722
8 Ag 0.500 0.500 0.000
9 Ag 0.500 0.500 0.389
10 Ag 0.500 0.500 0.611

As for the total energy: -3.10 eV/atom. Its formation energy is 0.081 eV per atom. The polymorph energy (0 for the lowest one) is 0.24 eV/f.u.

---

No. 9
The following is a PBE calculation of PaCdGe after structural relaxation, from the Open Quantum Materials Database.

a b c (Å): 4.755 4.755 4.755
angles (deg): 60.00 60.00 60.00
Fractional positions:
1 Pa 0.000 0.000 0.000
2 Cd 0.500 0.500 0.500
3 Ge 0.750 0.750 0.750

The calculation puts the total magnetic moment at 1.12 μB per cell. As for the total energy: -4.85 eV/atom. The polymorph energy (0 for the lowest one) is 0.00 eV/f.u.

---

No. 10
The following is a PBE calculation of NaLaOs after structural relaxation, from the Open Quantum Materials Database.

a b c (Å): 4.719 4.719 4.719
angles (deg): 60.00 60.00 60.00
Fractional positions:
1 Na 0.000 0.000 0.000
2 La 0.250 0.250 0.250
3 Os 0.500 0.500 0.500

The calculation puts the total magnetic moment at 0.00 μB per cell. As for the total energy: -4.86 eV/atom. The polymorph energy (0 for the lowest one) is 1.21 eV/f.u.

---

No. 11
The following is a PBE calculation of HoErCS after structural relaxation, from the Open Quantum Materials Database.

a b c (Å): 3.675 3.675 12.791
angles (deg): 90.00 90.00 120.00
Fractional positions:
1 Ho 0.333 0.667 0.104
2 Ho 0.667 0.333 0.896
3 Er 0.333 0.667 0.397
4 Er 0.667 0.333 0.603
5 C 0.000 0.000 0.000
6 C 0.000 0.000 0.500
7 S 0.333 0.667 0.749
8 S 0.667 0.333 0.251

The calculation puts the total magnetic moment at 0.01 μB per cell. As for the total energy: -6.91 eV/atom.

---

No. 12
The following is a PBE calculation of LiCuAgHg after structural relaxation, from the Open Quantum Materials Database.

a b c (Å): 4.488 4.488 4.488
angles (deg): 60.00 60.00 60.00
Fractional positions:
1 Li 0.000 0.000 0.000
2 Cu 0.500 0.500 0.500
3 Ag 0.250 0.250 0.250
4 Hg 0.750 0.750 0.750

As for the total energy: -2.31 eV/atom. The polymorph energy (0 for the lowest one) is 0.00 eV/f.u.